# In2GaPb6 | the Alexandria database | PBE | optimized geometry
data_In2GaPb6
_symmetry_space_group_name_H-M 'C 1 2/c 1'
_symmetry_Int_Tables_number 15
_symmetry_space_group_name_Hall '-C 2yc'
_cell_length_a 12.907
_cell_length_b 11.622
_cell_length_c 8.947
_cell_angle_alpha 90.00
_cell_angle_beta 126.97
_cell_angle_gamma 90.00
loop_
_atom_site_label
_atom_site_type_symbol
_atom_site_fract_x
_atom_site_fract_y
_atom_site_fract_z
_atom_site_occupancy
In1 In 0.164 0.136 0.414 1
Ga1 Ga 0.000 0.369 0.250 1
Pb1 Pb 0.068 0.122 0.986 1
Pb2 Pb 0.094 0.383 0.670 1
Pb3 Pb 0.235 0.376 0.153 1
# ΔH_f (0 K) in kJ per mole of atoms: 4.6
# Size of the total moment in μB/atom: 0.00
# Crystal system: monoclinic
# Energy in eV per atom: -3.370


# TcAgHg2Pt | the Alexandria database | PBE | optimized geometry
data_TcAgHg2Pt
_symmetry_space_group_name_H-M 'P 4/m m m'
_symmetry_Int_Tables_number 123
_symmetry_space_group_name_Hall '-P 4 2'
_cell_length_a 5.160
_cell_length_b 5.160
_cell_length_c 5.154
_cell_angle_alpha 90.00
_cell_angle_beta 90.00
_cell_angle_gamma 90.00
loop_
_atom_site_label
_atom_site_type_symbol
_atom_site_fract_x
_atom_site_fract_y
_atom_site_fract_z
_atom_site_occupancy
Tc1 Tc 0.000 0.000 0.000 1
Ag1 Ag 0.500 0.500 0.000 1
Hg1 Hg 0.000 0.500 0.500 1
Pt1 Pt 0.500 0.500 0.500 1
# ΔH_f (0 K) in kJ per mole of atoms: 110.4
# Size of the total moment in μB/atom: 0.87
# Crystal system: tetragonal
# Energy in eV per atom: -2.828


# TcAu3 | the Alexandria database | PBE | optimized geometry
data_TcAu3
_symmetry_space_group_name_H-M 'P 4/m m m'
_symmetry_Int_Tables_number 123
_symmetry_space_group_name_Hall '-P 4 2'
_cell_length_a 2.813
_cell_length_b 2.813
_cell_length_c 8.625
_cell_angle_alpha 90.00
_cell_angle_beta 90.00
_cell_angle_gamma 90.00
loop_
_atom_site_label
_atom_site_type_symbol
_atom_site_fract_x
_atom_site_fract_y
_atom_site_fract_z
_atom_site_occupancy
Tc1 Tc 0.000 0.000 0.000 1
Au1 Au 0.000 0.000 0.500 1
Au2 Au 0.500 0.500 0.237 1
# ΔH_f (0 K) in kJ per mole of atoms: 23.2
# Size of the total moment in μB/atom: 0.11
# Crystal system: tetragonal
# Energy in eV per atom: -4.809


What is the size of the total moment in the second record?
0.87 μB/atom


Which formula does entry 2 have?
TcAgHg2Pt


Number 3 is which compound?
TcAu3